Here is a relaxed La4AgPt crystal from Alexandria via LeMat-Bulk. Energies are from PBE-GGA.

* raw total energy: -5.277 eV per atom
* V: 2917.0 Å³/cell
* theoretical density: 7.82 g cm⁻³

a b c (Å): 14.288 14.288 14.288
angles (deg): 90.00 90.00 90.00
Space group F-43m (No. 216)
Symmetry-distinct sites (fractional):
La (0.000, 0.000, 0.187) [24 per cell]
La (0.057, 0.250, 0.250) [24 per cell]
La (0.103, 0.103, 0.603) [16 per cell]
Ag (0.168, 0.168, 0.832) [16 per cell]
Pt (0.107, 0.107, 0.393) [16 per cell]

Here is a relaxed In2Ni17 crystal from Alexandria via LeMat-Bulk. Energies are from PBE-GGA.

* raw total energy: -5.403 eV per atom
* V: 698.5 Å³/cell
* theoretical density: 8.75 g cm⁻³

a b c (Å): 8.1544 8.1544 12.1300
angles (deg): 90.00 90.00 120.00
Space group R-3m (No. 166, hexagonal axes)
Symmetry-distinct sites (fractional):
In (0.0000, 0.0000, 0.1606) [6 per cell]
Ni (0.0000, 0.0000, 0.4008) [6 per cell]
Ni (0.0000, 0.3000, 0.5000) [18 per cell]
Ni (0.0000, 0.5000, 0.0000) [9 per cell]
Ni (0.0021, 0.5010, 0.6532) [18 per cell]

Here is a relaxed Rb2ReSnSe crystal from Alexandria via LeMat-Bulk. Energies are from PBE-GGA.

* raw total energy: -3.738 eV per atom
* V: 198.6 Å³/cell
* theoretical density: 4.64 g cm⁻³

a b c (Å): 6.544 6.544 4.638
angles (deg): 90.00 90.00 90.00
Space group P4/mmm (No. 123)
Symmetry-distinct sites (fractional):
Rb (0.000, 0.500, 0.000) [2 per cell]
Re (0.000, 0.000, 0.500) [1 per cell]
Sn (0.500, 0.500, 0.500) [1 per cell]
Se (0.000, 0.000, 0.000) [1 per cell]